Record 1
Below is a relaxed HgRuCl2 crystal, with properties calculated at the GGA-PBE level.

Cell: 3.303 4.341 5.831 Å, 90.00 90.00 90.00°
Space group Pmmm (No. 47)
Symmetry-distinct sites (fractional):
Hg  0.000  0.000  0.000 [1 per cell]
Ru  0.500  0.000  0.500 [1 per cell]
Cl  0.000  0.500  0.500 [1 per cell]
Cl  0.500  0.500  0.000 [1 per cell]

Output
For the total energy, the calculation gives -2.79 eV/atom. Its uncorrected formation energy is 0.5270 eV per atom.

Record 2
Below is a relaxed Hg2RuCl crystal, with properties calculated at the GGA-PBE level.

Cell: 3.140 3.285 8.136 Å, 90.00 90.40 90.00°
Space group P2/m (No. 10)
Symmetry-distinct sites (fractional):
Hg  0.005  0.000  0.217 [2 per cell]
Ru  0.500  0.500  0.000 [1 per cell]
Cl  0.000  0.500  0.500 [1 per cell]

Output
For the total energy, the calculation gives -2.63 eV/atom. Its uncorrected formation energy is 0.2982 eV per atom.